# 1
{"formula": "InSb2Au2", "functional": "PBE-GGA", "state": "optimized geometry", "space_group": "P4/mbm", "rho_g_cm3": 10.29, "de_polymorph_mev_per_atom": 62, "formation_energy_uncorrected_ev_per_atom": 0.104, "vol_a3_per_atom": 24.285, "cell": [[8.6470, 0.0000, 0.0000], [0.0000, 8.6470, 0.0000], [0.0000, 0.0000, 3.2479]], "species": ["In", "In", "Sb", "Sb", "Sb", "Sb", "Au", "Au", "Au", "Au"], "frac_coords": [[0.0000, 0.0000, 0.0000], [0.5000, 0.5000, 0.0000], [0.1472, 0.3528, 0.0000], [0.3528, 0.8528, 0.0000], [0.6472, 0.1472, 0.0000], [0.8528, 0.6472, 0.0000], [0.1555, 0.6555, 0.5000], [0.3445, 0.1555, 0.5000], [0.6555, 0.8445, 0.5000], [0.8445, 0.3445, 0.5000]]}

# 2
{"formula": "Sc2InSbAu", "functional": "PBE-GGA", "state": "optimized geometry", "space_group": "P4/mmm", "rho_g_cm3": 6.02, "formation_energy_uncorrected_ev_per_atom": 0.074, "vol_a3_per_atom": 28.881, "cell": [[5.2177, 0.0000, 0.0000], [0.0000, 5.2177, 0.0000], [0.0000, 0.0000, 5.3044]], "species": ["Sc", "Sc", "In", "Sb", "Au"], "frac_coords": [[0.0000, 0.5000, 0.0000], [0.5000, 0.0000, 0.0000], [0.0000, 0.0000, 0.5000], [0.5000, 0.5000, 0.5000], [0.5000, 0.5000, 0.0000]]}

# 3
{"formula": "InSbAu2Se4", "functional": "PBE-GGA", "state": "optimized geometry", "space_group": "P1", "rho_g_cm3": 6.45, "formation_energy_uncorrected_ev_per_atom": -0.207, "vol_a3_per_atom": 30.435, "cell": [[5.7176, 0.0000, 0.0000], [-2.6224, 6.3687, 0.0000], [-0.0112, -2.3525, 6.6864]], "species": ["In", "Sb", "Au", "Au", "Se", "Se", "Se", "Se"], "frac_coords": [[0.0000, 0.0000, 0.0000], [0.7946, 0.4841, 0.2750], [0.2407, 0.5398, 0.9969], [0.2676, 0.0263, 0.5301], [0.1390, 0.7568, 0.7106], [0.3063, 0.2836, 0.3461], [0.6520, 0.7886, 0.2087], [0.7972, 0.2484, 0.8871]]}

# 4
{"formula": "In2SnSbAu4", "functional": "PBE-GGA", "state": "optimized geometry", "space_group": "Fmmm", "rho_g_cm3": 11.12, "formation_energy_uncorrected_ev_per_atom": -0.122, "vol_a3_per_atom": 23.490, "cell": [[0.0000, 4.4819, 5.7134], [3.6693, 0.0000, 5.7134], [3.6693, 4.4819, 0.0000]], "species": ["In", "In", "Sn", "Sb", "Au", "Au", "Au", "Au"], "frac_coords": [[0.2500, 0.2500, 0.2500], [0.7500, 0.7500, 0.7500], [0.0000, 0.0000, 0.0000], [0.5000, 0.5000, 0.5000], [0.0000, 0.0000, 0.5000], [0.2489, 0.2489, 0.7511], [0.5000, 0.5000, 0.0000], [0.7511, 0.7511, 0.2489]]}